# 1
Below is a geometry-optimized CePm4Tm4 structure, with properties calculated at the PBE level.

## Properties
Formation enthalpy at 0 K = 0.044 eV per atom
ρ = 8.049 g/cm3
Crystal system = tetragonal
M_tot = 2.9 μB per cell

a = 10.6859 Å, b = 10.6859 Å, c = 5.0436 Å
α = 90.00°, β = 90.00°, γ = 90.00°
Space group I4/mmm (No. 139)
Asymmetric unit:
1 Ce 0.0000 0.0000 0.0000 [2 per cell]
2 Pm 0.0000 0.3291 0.0000 [8 per cell]
3 Tm 0.1646 0.1646 0.5000 [8 per cell]

---

# 2
Below is a geometry-optimized CePmTm14 structure, with properties calculated at the PBE level.

## Properties
Formation enthalpy at 0 K = 0.067 eV per atom
ρ = 9.013 g/cm3
Crystal system = orthorhombic
M_tot = 1.1 μB per cell

a = 10.9585 Å, b = 8.0315 Å, c = 11.0953 Å
α = 90.00°, β = 90.00°, γ = 90.00°
Space group Amm2 (No. 38)
Asymmetric unit:
1 Ce 0.0000 0.0000 0.0000 [2 per cell]
2 Pm 0.0000 0.0000 0.5615 [2 per cell]
3 Tm 0.0000 0.2065 0.2830 [4 per cell]
4 Tm 0.2360 0.0000 0.7659 [4 per cell]
5 Tm 0.2514 0.2114 0.4879 [8 per cell]
6 Tm 0.2681 0.0000 0.2116 [4 per cell]
7 Tm 0.5000 0.0000 0.4203 [2 per cell]
8 Tm 0.5000 0.0000 0.9712 [2 per cell]
9 Tm 0.5000 0.2056 0.6984 [4 per cell]

---

# 3
Below is a geometry-optimized CePm6Tm2 structure, with properties calculated at the PBE level.

## Properties
Formation enthalpy at 0 K = 0.150 eV per atom
ρ = 7.460 g/cm3
Crystal system = monoclinic
M_tot = 2.3 μB per cell

a = 6.2651 Å, b = 9.8489 Å, c = 11.3628 Å
α = 90.00°, β = 121.14°, γ = 90.00°
Space group P2_1/c (No. 14)
Asymmetric unit:
1 Ce 0.0000 0.0000 0.0000 [2 per cell]
2 Pm 0.1260 0.1436 0.4826 [4 per cell]
3 Pm 0.2363 0.7241 0.8486 [4 per cell]
4 Pm 0.4366 0.1106 0.3033 [4 per cell]
5 Tm 0.3351 0.0768 0.8487 [4 per cell]

---

# 4
Below is a geometry-optimized Ce2PmTm structure, with properties calculated at the PBE level.

## Properties
Formation enthalpy at 0 K = 0.177 eV per atom
Energy above the most stable polymorph in this dataset = 7.7 kJ per mole of atoms
ρ = 7.910 g/cm3
Crystal system = monoclinic
M_tot = 0.0 μB per cell

a = 8.4853 Å, b = 9.4134 Å, c = 6.4251 Å
α = 90.00°, β = 103.55°, γ = 90.00°
Space group C2/c (No. 15)
Asymmetric unit:
1 Ce 0.1059 0.1000 0.4441 [8 per cell]
2 Pm 0.2500 0.2500 0.0000 [4 per cell]
3 Tm 0.0000 0.4539 0.2500 [4 per cell]

---

# 5
Below is a geometry-optimized CePm5Tm structure, with properties calculated at the PBE level.

## Properties
Formation enthalpy at 0 K = 0.827 eV per atom
ρ = 5.797 g/cm3
Crystal system = monoclinic
M_tot = 0.9 μB per cell

a = 11.5711 Å, b = 8.8194 Å, c = 5.8051 Å
α = 90.00°, β = 90.30°, γ = 90.00°
Space group C2/m (No. 12)
Asymmetric unit:
1 Ce 0.0000 0.0000 0.0000 [2 per cell]
2 Pm 0.0000 0.0000 0.5000 [2 per cell]
3 Pm 0.0000 0.3093 0.0000 [4 per cell]
4 Pm 0.2481 0.0000 0.0058 [4 per cell]
5 Tm 0.0000 0.5000 0.5000 [2 per cell]

---

# 6
Below is a geometry-optimized CePmTm6 structure, with properties calculated at the PBE level.

## Properties
Formation enthalpy at 0 K = 0.222 eV per atom
ρ = 8.742 g/cm3
Crystal system = triclinic
M_tot = 1.5 μB per cell

a = 6.4186 Å, b = 6.5281 Å, c = 7.3822 Å
α = 114.82°, β = 115.57°, γ = 90.24°
Space group P-1 (No. 2)
Asymmetric unit:
1 Ce 0.0000 0.0000 0.0000 [1 per cell]
2 Pm 0.5000 0.0000 0.0000 [1 per cell]
3 Tm 0.2308 0.9122 0.4622 [2 per cell]
4 Tm 0.2488 0.5004 0.0011 [2 per cell]
5 Tm 0.2600 0.4401 0.5206 [2 per cell]

---

# 7
Below is a geometry-optimized CePm15Tm4 structure, with properties calculated at the PBE level.

## Properties
Formation enthalpy at 0 K = 0.028 eV per atom
ρ = 7.442 g/cm3
Crystal system = tetragonal
M_tot = 1.1 μB per cell

a = 5.1141 Å, b = 5.1141 Å, c = 25.5168 Å
α = 90.00°, β = 90.00°, γ = 90.00°
Space group P4/mmm (No. 123)
Asymmetric unit:
1 Ce 0.0000 0.0000 0.0000 [1 per cell]
2 Pm 0.0000 0.5000 0.0999 [4 per cell]
3 Pm 0.0000 0.5000 0.3000 [4 per cell]
4 Pm 0.0000 0.5000 0.5000 [2 per cell]
5 Pm 0.5000 0.5000 0.0000 [1 per cell]
6 Pm 0.5000 0.5000 0.2017 [2 per cell]
7 Pm 0.5000 0.5000 0.4003 [2 per cell]
8 Tm 0.0000 0.0000 0.2002 [2 per cell]
9 Tm 0.0000 0.0000 0.4000 [2 per cell]

---

# 8
Below is a geometry-optimized CePm6Tm5 structure, with properties calculated at the PBE level.

## Properties
Formation enthalpy at 0 K = 0.038 eV per atom
ρ = 7.961 g/cm3
Crystal system = orthorhombic
M_tot = 2.2 μB per cell

a = 5.0803 Å, b = 10.0459 Å, c = 15.1621 Å
α = 90.00°, β = 90.00°, γ = 90.00°
Space group Immm (No. 71)
Asymmetric unit:
1 Ce 0.0000 0.0000 0.0000 [2 per cell]
2 Pm 0.0000 0.2503 0.1650 [8 per cell]
3 Pm 0.0000 0.2507 0.5000 [4 per cell]
4 Tm 0.0000 0.0000 0.3320 [4 per cell]
5 Tm 0.0000 0.5000 0.0000 [2 per cell]
6 Tm 0.0000 0.5000 0.3339 [4 per cell]

---

# 9
Below is a geometry-optimized CePm6Tm8 structure, with properties calculated at the PBE level.

## Properties
Formation enthalpy at 0 K = 0.128 eV per atom
ρ = 8.111 g/cm3
Crystal system = trigonal
M_tot = 3.6 μB per cell

a = 8.9945 Å, b = 8.9945 Å, c = 20.7012 Å
α = 90.00°, β = 90.00°, γ = 120.00°
Space group R-3 (No. 148, hexagonal axes)
Asymmetric unit:
1 Ce 0.0000 0.0000 0.0000 [3 per cell]
2 Pm 0.0628 0.2499 0.7105 [18 per cell]
3 Tm 0.0000 0.0000 0.4230 [6 per cell]
4 Tm 0.0810 0.5614 0.8064 [18 per cell]

---

# 10
Below is a geometry-optimized CePm3Tm6 structure, with properties calculated at the PBE level.

## Properties
Formation enthalpy at 0 K = 0.223 eV per atom
Energy above the most stable polymorph in this dataset = 5.6 kJ per mole of atoms
ρ = 8.385 g/cm3
Crystal system = triclinic
M_tot = 0.5 μB per cell

a = 6.1511 Å, b = 6.5211 Å, c = 8.6954 Å
α = 72.09°, β = 71.68°, γ = 87.16°
Space group P-1 (No. 2)
Asymmetric unit:
1 Ce 0.0000 0.0000 0.0000 [1 per cell]
2 Pm 0.0000 0.5000 0.5000 [1 per cell]
3 Pm 0.4535 0.1915 0.8034 [2 per cell]
4 Tm 0.0368 0.0503 0.3081 [2 per cell]
5 Tm 0.2156 0.5494 0.0626 [2 per cell]
6 Tm 0.4885 0.7455 0.6335 [2 per cell]

---

# 11
Below is a geometry-optimized Ce2PmTm structure, with properties calculated at the PBE level.

## Properties
Formation enthalpy at 0 K = 0.097 eV per atom
Energy above the most stable polymorph in this dataset = 0.0 kJ per mole of atoms
ρ = 8.061 g/cm3
Crystal system = trigonal
M_tot = 4.8 μB per cell

a = 3.4955 Å, b = 3.4955 Å, c = 34.7015 Å
α = 90.00°, β = 90.00°, γ = 120.00°
Space group R3m (No. 160, hexagonal axes)
Asymmetric unit:
1 Ce 0.0000 0.0000 0.0000 [3 per cell]
2 Ce 0.0000 0.0000 0.1624 [3 per cell]
3 Pm 0.0000 0.0000 0.5793 [3 per cell]
4 Tm 0.0000 0.0000 0.7484 [3 per cell]

---

# 12
Below is a geometry-optimized CePm12Tm7 structure, with properties calculated at the PBE level.

## Properties
Formation enthalpy at 0 K = 0.257 eV per atom
Energy above the most stable polymorph in this dataset = 1.3 kJ per mole of atoms
ρ = 7.537 g/cm3
Crystal system = trigonal
M_tot = 1.9 μB per cell

a = 19.5260 Å, b = 19.5260 Å, c = 6.1310 Å
α = 90.00°, β = 90.00°, γ = 120.00°
Space group R-3 (No. 148, hexagonal axes)
Asymmetric unit:
1 Ce 0.0000 0.0000 0.0000 [3 per cell]
2 Pm 0.0002 0.4131 0.5010 [18 per cell]
3 Pm 0.0973 0.5492 0.9734 [18 per cell]
4 Tm 0.0000 0.0000 0.5000 [3 per cell]
5 Tm 0.0800 0.9190 0.8002 [18 per cell]

---

- The lowest formation enthalpy at 0 K belongs to which entry?
  CePm15Tm4